Material: RhW2Au
Method: DFT, GGA-PBE
State: optimized geometry

a b c (Å): 2.8210 2.8210 28.1508
angles (deg): 90.00 90.00 120.00
Closest atoms and distances in Å follow each position.
Space group R3m (No. 160, hexagonal axes)
Asymmetric unit:
1 Rh 0.0000 0.0000 0.0000  3 W 2.66, 6 Rh 2.82, 3 Au 2.93
2 W 0.0000 0.0000 0.2587  3 Rh 2.66, 9 W 2.82-2.94
3 W 0.0000 0.0000 0.5052  9 W 2.82-2.94, 3 Au 2.90
4 Au 0.0000 0.0000 0.7532  6 Au 2.82, 3 W 2.90, 3 Rh 2.93

Results
Theoretical density ... 17.14 Mg/m³
Crystal system ... trigonal
Calculated formation energy ... 180 meV/atom
Excess energy over the best structure of this formula in the dataset ... 0.28 eV per formula unit
Magnetization ... 0.00 μB per formula unit
D(E_F) ... 1.8 states/eV/f.u.